Density functional theory data (PBE) for ZnCu3Ni4 after structural relaxation.

Summary:
E above lowest polymorph in meV/atom: 0
E_tot in eV per cell: -36.802
Mass density in Mg/m³: 8.85
Energy of formation in eV per formula unit: -0.1

Cell lengths 6.3608, 6.3608, 6.3608 Å; angles 143.12, 143.12, 53.15 degrees
Last column: nearest neighbours and their distance in Å.
Atoms (fractional coordinates):
Zn (0.0000, 0.0000, 0.0000)  8 Ni 2.47
Cu (0.2513, 0.2513, 0.0000)  8 Ni 2.45-2.47
Cu (0.5000, 0.5000, 0.0000)  8 Ni 2.47
Cu (0.7487, 0.7487, 0.0000)  8 Ni 2.45-2.47
Ni (0.1258, 0.6258, 0.5000)  6 Cu 2.45-2.47, 2 Zn 2.47
Ni (0.3742, 0.8742, 0.5000)  6 Cu 2.45-2.47, 2 Zn 2.47
Ni (0.6258, 0.1258, 0.5000)  6 Cu 2.45-2.47, 2 Zn 2.47
Ni (0.8742, 0.3742, 0.5000)  6 Cu 2.45-2.47, 2 Zn 2.47

***

Density functional theory data (PBE) for Tl5O after structural relaxation.

Summary:
Formation energy (no corrections) in eV per atom: -0.157
E_tot in eV per cell: -17.729
Mass density in Mg/m³: 9.64

Cell lengths 9.0596, 9.0596, 5.8429 Å; angles 90.00, 90.00, 158.11 degrees
Last column: nearest neighbours and their distance in Å.
Atoms (fractional coordinates):
Tl (0.0000, 0.0000, 0.0000)  4 O 3.39, 10 Tl 3.43-3.47
Tl (0.1012, 0.8988, 0.5000)  2 O 2.49
Tl (0.3305, 0.6695, 0.0000)  10 Tl 3.34-3.60
Tl (0.6695, 0.3305, 0.0000)  10 Tl 3.34-3.60
Tl (0.8988, 0.1012, 0.5000)  2 O 2.49
O (0.5000, 0.5000, 0.5000)  4 Tl 2.49

***

Density functional theory data (PBE) for Pm3ScPd3 after structural relaxation.

Summary:
E_tot in eV per cell: -81.081
Mass density in Mg/m³: 7.63
Energy of formation in eV per formula unit: -4.4

Cell lengths 6.9943, 6.9943, 7.1812 Å; angles 91.80, 91.80, 97.81 degrees
Last column: nearest neighbours and their distance in Å.
Atoms (fractional coordinates):
Pm (0.1729, 0.8271, 0.0000)  6 Pd 2.81-2.99
Pm (0.2576, 0.7424, 0.5000)  6 Pd 3.06-3.15
Pm (0.3506, 0.3506, 0.1307)  3 Pd 3.01-3.18
Pm (0.6494, 0.6494, 0.8693)  3 Pd 3.01-3.18
Pm (0.7424, 0.2576, 0.5000)  6 Pd 3.06-3.15
Pm (0.8271, 0.1729, 0.0000)  6 Pd 2.81-2.99
Sc (0.2503, 0.2503, 0.6237)  3 Pd 2.62-2.71
Sc (0.7497, 0.7497, 0.3763)  3 Pd 2.62-2.71
Pd (0.0437, 0.4877, 0.7877)  1 Sc 2.62, 1 Pm 2.81
Pd (0.0649, 0.0649, 0.3181)  2 Sc 2.71-2.95, 1 Pd 2.92, 3 Pm 2.96-3.01
Pd (0.4877, 0.0437, 0.7877)  1 Sc 2.62, 1 Pm 2.81
Pd (0.5123, 0.9563, 0.2123)  1 Sc 2.62, 1 Pm 2.81
Pd (0.9351, 0.9351, 0.6819)  2 Sc 2.71-2.95, 1 Pd 2.92, 3 Pm 2.96-3.01
Pd (0.9563, 0.5123, 0.2123)  1 Sc 2.62, 1 Pm 2.81

***

Density functional theory data (PBE) for Cd4SnHg4 after structural relaxation.

Summary:
E_tot in eV per cell: -8.540
Mass density in Mg/m³: 10.44
Energy of formation in eV per formula unit: 0.3

Cell lengths 7.2944, 7.2944, 7.2944 Å; angles 95.54, 95.54, 143.79 degrees
Last column: nearest neighbours and their distance in Å.
Atoms (fractional coordinates):
Cd (0.0000, 0.3384, 0.3384)  5 Cd 3.17-3.19, 6 Hg 3.24-3.26, 1 Sn 3.32
Cd (0.0000, 0.6616, 0.6616)  5 Cd 3.17-3.19, 6 Hg 3.24-3.26, 1 Sn 3.32
Cd (0.3384, 0.0000, 0.3384)  5 Cd 3.17-3.19, 6 Hg 3.24-3.26, 1 Sn 3.32
Cd (0.6616, 0.0000, 0.6616)  5 Cd 3.17-3.19, 6 Hg 3.24-3.26, 1 Sn 3.32
Sn (0.0000, 0.0000, 0.0000)  8 Hg 3.27, 4 Cd 3.32
Hg (0.3299, 0.3299, 0.6597)  4 Hg 3.17-3.34, 6 Cd 3.24-3.26, 2 Sn 3.27
Hg (0.3299, 0.6701, 0.0000)  4 Hg 3.17-3.34, 6 Cd 3.24-3.26, 2 Sn 3.27
Hg (0.6701, 0.3299, 0.0000)  4 Hg 3.17-3.34, 6 Cd 3.24-3.26, 2 Sn 3.27
Hg (0.6701, 0.6701, 0.3403)  4 Hg 3.17-3.34, 6 Cd 3.24-3.26, 2 Sn 3.27

***

Density functional theory data (PBE) for ScCo2Ge2 after structural relaxation.

Summary:
E_tot in eV per cell: -62.401
Mass density in Mg/m³: 7.33
Energy of formation in eV per formula unit: -1.4

Cell lengths 7.0431, 7.0431, 2.8143 Å; angles 90.00, 90.00, 90.00 degrees
Last column: nearest neighbours and their distance in Å.
Atoms (fractional coordinates):
Sc (0.0000, 0.0000, 0.0000)  4 Co 2.75, 2 Sc 2.81, 8 Ge 3.00
Sc (0.5000, 0.5000, 0.0000)  4 Co 2.75, 2 Sc 2.81, 8 Ge 3.00
Co (0.1327, 0.3673, 0.0000)  6 Ge 2.50, 1 Co 2.64, 2 Sc 2.75
Co (0.3673, 0.8673, 0.0000)  6 Ge 2.50, 1 Co 2.64, 2 Sc 2.75
Co (0.6327, 0.1327, 0.0000)  6 Ge 2.50, 1 Co 2.64, 2 Sc 2.75
Co (0.8673, 0.6327, 0.0000)  6 Ge 2.50, 1 Co 2.64, 2 Sc 2.75
Ge (0.1602, 0.6602, 0.5000)  6 Co 2.50
Ge (0.3398, 0.1602, 0.5000)  6 Co 2.50
Ge (0.6602, 0.8398, 0.5000)  6 Co 2.50
Ge (0.8398, 0.3398, 0.5000)  6 Co 2.50

***

Density functional theory data (PBE) for Ac2CoCu2S6 after structural relaxation.

Summary:
Formation energy (no corrections) in eV per atom: -0.953
E_tot in eV per cell: -58.766
Mass density in Mg/m³: 6.04

Cell lengths 7.0219, 7.0219, 7.0219 Å; angles 57.18, 57.18, 57.18 degrees
Last column: nearest neighbours and their distance in Å.
Atoms (fractional coordinates):
Ac (0.2276, 0.2276, 0.2276)  9 S 3.04-3.39, 1 Cu 3.22
Ac (0.7724, 0.7724, 0.7724)  9 S 3.04-3.39, 1 Cu 3.22
Co (0.0000, 0.0000, 0.0000)  6 S 2.27
Cu (0.4108, 0.4108, 0.4108)  3 S 2.17
Cu (0.5892, 0.5892, 0.5892)  3 S 2.17
S (0.2101, 0.7675, 0.7675)  1 Cu 2.17, 1 Co 2.27
S (0.2325, 0.2325, 0.7899)  1 Cu 2.17, 1 Co 2.27
S (0.2325, 0.7899, 0.2325)  1 Cu 2.17, 1 Co 2.27
S (0.7675, 0.2101, 0.7675)  1 Cu 2.17, 1 Co 2.27
S (0.7675, 0.7675, 0.2101)  1 Cu 2.17, 1 Co 2.27
S (0.7899, 0.2325, 0.2325)  1 Cu 2.17, 1 Co 2.27

***

Density functional theory data (PBE) for FeReSe2Br after structural relaxation.

Summary:
E above lowest polymorph in meV/atom: 0
Formation energy (no corrections) in eV per atom: 0.904
E_tot in eV per cell: -25.031
Mass density in Mg/m³: 6.44

Cell lengths 4.8031, 4.8031, 5.3643 Å; angles 90.00, 90.00, 90.00 degrees
Last column: nearest neighbours and their distance in Å.
Atoms (fractional coordinates):
Fe (0.0000, 0.0000, 0.0000)  4 Br 3.40, 8 Se 3.60
Re (0.5000, 0.5000, 0.5000)  4 Se 2.40, 2 Br 2.68
Se (0.0000, 0.5000, 0.5000)  2 Re 2.40
Se (0.5000, 0.0000, 0.5000)  2 Re 2.40
Br (0.5000, 0.5000, 0.0000)  2 Re 2.68

***

Density functional theory data (PBE) for K2DyPuS4 after structural relaxation.

Summary:
Formation energy (no corrections) in eV per atom: -1.726
E_tot in eV per cell: -51.445
Mass density in Mg/m³: 4.78

Cell lengths 7.0908, 4.0892, 7.7161 Å; angles 90.00, 107.86, 90.00 degrees
Last column: nearest neighbours and their distance in Å.
Atoms (fractional coordinates):
K (0.0000, 0.0000, 0.0000)  6 S 3.20-3.22
K (0.5000, 0.5000, 0.0000)  6 S 3.23-3.24
Dy (0.0000, 0.5000, 0.5000)  6 S 2.77-2.78
Pu (0.5000, 0.0000, 0.5000)  6 S 2.79-2.81
S (0.2304, 0.0000, 0.7023)  2 Dy 2.78, 1 Pu 2.81
S (0.2647, 0.5000, 0.2998)  1 Dy 2.77, 2 Pu 2.79
S (0.7353, 0.5000, 0.7002)  1 Dy 2.77, 2 Pu 2.79
S (0.7696, 0.0000, 0.2977)  2 Dy 2.78, 1 Pu 2.81